No. 1
Pm2GaTe5Au: optimized geometry, GGA-PBE.

The structure in CIF format:
```
data_Pm2GaTe5Au
_chemical_formula_sum 'Pm4 Ga2 Te10 Au2'
_cell_length_a 4.356
_cell_length_b 10.096
_cell_length_c 12.864
_cell_angle_alpha 90.00
_cell_angle_beta 90.00
_cell_angle_gamma 102.46
_space_group_name_H-M_alt 'P 1'
_space_group_IT_number 1
_space_group_name_Hall 'P 1'
loop_
_atom_site_label
_atom_site_type_symbol
_atom_site_fract_x
_atom_site_fract_y
_atom_site_fract_z
Te1 Te 0.501 0.003 0.779
Te2 Te 0.313 0.626 0.635
Te3 Te 0.372 0.744 0.981
Te4 Te 0.687 0.375 0.830
Au1 Au 0.733 0.465 0.614
Au2 Au 0.267 0.535 0.114
Te5 Te 0.499 0.997 0.279
Te6 Te 0.628 0.256 0.481
Ga1 Ga 0.580 0.160 0.956
Te7 Te 0.959 0.918 0.567
Pm1 Pm 0.113 0.225 0.671
Pm2 Pm 0.128 0.256 0.290
Te8 Te 0.041 0.082 0.067
Te9 Te 0.313 0.625 0.330
Ga2 Ga 0.420 0.840 0.456
Pm3 Pm 0.887 0.775 0.171
Te10 Te 0.687 0.374 0.135
Pm4 Pm 0.872 0.744 0.790
```

Properties
energy relative to the elements, uncorrected = -0.852 eV per atom

No. 2
Ta2ReRu: optimized geometry, GGA-PBE.

The structure in CIF format:
```
data_Ta2ReRu
_chemical_formula_sum 'Ta2 Re1 Ru1'
_cell_length_a 3.199
_cell_length_b 3.199
_cell_length_c 6.397
_cell_angle_alpha 90.00
_cell_angle_beta 90.00
_cell_angle_gamma 90.00
_space_group_name_H-M_alt 'P 1'
_space_group_IT_number 1
_space_group_name_Hall 'P 1'
loop_
_atom_site_label
_atom_site_type_symbol
_atom_site_fract_x
_atom_site_fract_y
_atom_site_fract_z
Ta1 Ta 0.000 0.000 0.987
Ru1 Ru 0.500 0.500 0.762
Re1 Re 0.000 0.000 0.488
Ta2 Ta 0.500 0.500 0.263
```

Properties
E_form = -11.4 kJ per mole of atoms

No. 3
PrEuErSn: optimized geometry, GGA-PBE.

The structure in CIF format:
```
data_PrEuErSn
_chemical_formula_sum 'Pr1 Eu1 Er1 Sn1'
_cell_length_a 5.530
_cell_length_b 5.530
_cell_length_c 5.530
_cell_angle_alpha 60.00
_cell_angle_beta 60.00
_cell_angle_gamma 60.00
_space_group_name_H-M_alt 'P 1'
_space_group_IT_number 1
_space_group_name_Hall 'P 1'
loop_
_atom_site_label
_atom_site_type_symbol
_atom_site_fract_x
_atom_site_fract_y
_atom_site_fract_z
Pr1 Pr 0.500 0.500 0.500
Sn1 Sn 0.250 0.250 0.250
Er1 Er 0.000 0.000 0.000
Eu1 Eu 0.750 0.750 0.750
```

Properties
E_form = -23.7 kJ per mole of atoms

No. 4
BeAlHg: optimized geometry, GGA-PBE.

The structure in CIF format:
```
data_BeAlHg
_chemical_formula_sum 'Be2 Al2 Hg2'
_cell_length_a 4.697
_cell_length_b 4.046
_cell_length_c 5.491
_cell_angle_alpha 90.00
_cell_angle_beta 92.25
_cell_angle_gamma 90.00
_space_group_name_H-M_alt 'P 1'
_space_group_IT_number 1
_space_group_name_Hall 'P 1'
loop_
_atom_site_label
_atom_site_type_symbol
_atom_site_fract_x
_atom_site_fract_y
_atom_site_fract_z
Be1 Be 0.882 0.250 0.007
Al1 Al 0.365 0.250 0.873
Hg1 Hg 0.761 0.250 0.505
Al2 Al 0.635 0.750 0.127
Be2 Be 0.118 0.750 0.993
Hg2 Hg 0.239 0.750 0.495
```

Properties
E_form = 18.5 kJ per mole of atoms
E above lowest polymorph = 21.0 meV per atom

No. 5
CsBiSb2I: optimized geometry, GGA-PBE.

The structure in CIF format:
```
data_CsBiSb2I
_chemical_formula_sum 'Cs1 Bi1 Sb2 I1'
_cell_length_a 5.901
_cell_length_b 5.901
_cell_length_c 6.810
_cell_angle_alpha 90.00
_cell_angle_beta 90.00
_cell_angle_gamma 90.00
_space_group_name_H-M_alt 'P 1'
_space_group_IT_number 1
_space_group_name_Hall 'P 1'
loop_
_atom_site_label
_atom_site_type_symbol
_atom_site_fract_x
_atom_site_fract_y
_atom_site_fract_z
Cs1 Cs 0.500 0.500 0.500
Bi1 Bi 0.000 0.000 0.000
I1 I 0.000 0.000 0.500
Sb1 Sb 0.500 0.000 0.000
Sb2 Sb 0.000 0.500 0.000
```

Properties
E above lowest polymorph = 0.0 meV per atom
energy relative to the elements, uncorrected = 0.018 eV per atom

No. 6
LaTbPrTm2: optimized geometry, GGA-PBE.

The structure in CIF format:
```
data_LaTbPrTm2
_chemical_formula_sum 'La2 Tb2 Pr2 Tm4'
_cell_length_a 7.211
_cell_length_b 8.453
_cell_length_c 7.163
_cell_angle_alpha 126.16
_cell_angle_beta 90.00
_cell_angle_gamma 90.00
_space_group_name_H-M_alt 'P 1'
_space_group_IT_number 1
_space_group_name_Hall 'P 1'
loop_
_atom_site_label
_atom_site_type_symbol
_atom_site_fract_x
_atom_site_fract_y
_atom_site_fract_z
Tb1 Tb 0.750 0.717 0.434
Tm1 Tm 0.500 0.686 0.000
La1 La 0.750 0.266 0.533
Tm2 Tm 0.000 0.314 0.000
Pr1 Pr 0.750 0.999 0.999
La2 La 0.250 0.734 0.467
Tm3 Tm 0.000 0.686 0.000
Tb2 Tb 0.250 0.283 0.566
Pr2 Pr 0.250 0.001 0.001
Tm4 Tm 0.500 0.314 0.000
```

Properties
E_form = 33.7 kJ per mole of atoms

No. 7
CaInAs2: optimized geometry, GGA-PBE.

The structure in CIF format:
```
data_CaInAs2
_chemical_formula_sum 'Ca1 In1 As2'
_cell_length_a 8.526
_cell_length_b 8.526
_cell_length_c 8.526
_cell_angle_alpha 25.85
_cell_angle_beta 25.85
_cell_angle_gamma 25.85
_space_group_name_H-M_alt 'P 1'
_space_group_IT_number 1
_space_group_name_Hall 'P 1'
loop_
_atom_site_label
_atom_site_type_symbol
_atom_site_fract_x
_atom_site_fract_y
_atom_site_fract_z
Ca1 Ca 0.510 0.510 0.510
As1 As 0.262 0.262 0.262
In1 In 0.741 0.741 0.741
As2 As 0.987 0.987 0.987
```

Properties
E_form = -16.1 kJ per mole of atoms

No. 8
SmHo3Te4: optimized geometry, GGA-PBE.

The structure in CIF format:
```
data_SmHo3Te4
_chemical_formula_sum 'Sm1 Ho3 Te4'
_cell_length_a 4.296
_cell_length_b 7.597
_cell_length_c 7.597
_cell_angle_alpha 108.67
_cell_angle_beta 90.00
_cell_angle_gamma 90.00
_space_group_name_H-M_alt 'P 1'
_space_group_IT_number 1
_space_group_name_Hall 'P 1'
loop_
_atom_site_label
_atom_site_type_symbol
_atom_site_fract_x
_atom_site_fract_y
_atom_site_fract_z
Te1 Te 0.500 0.253 0.747
Ho1 Ho 0.000 0.500 0.000
Ho2 Ho 0.000 0.000 0.500
Ho3 Ho 0.500 0.500 0.500
Te2 Te 0.000 0.744 0.744
Sm1 Sm 0.500 0.000 0.000
Te3 Te 0.000 0.256 0.256
Te4 Te 0.500 0.747 0.253
```

Properties
energy relative to the elements, uncorrected = -1.278 eV per atom

No. 9
CuSiW4: optimized geometry, GGA-PBE.

The structure in CIF format:
```
data_CuSiW4
_chemical_formula_sum 'Cu1 Si1 W4'
_cell_length_a 5.247
_cell_length_b 5.247
_cell_length_c 5.247
_cell_angle_alpha 60.00
_cell_angle_beta 60.00
_cell_angle_gamma 60.00
_space_group_name_H-M_alt 'P 1'
_space_group_IT_number 1
_space_group_name_Hall 'P 1'
loop_
_atom_site_label
_atom_site_type_symbol
_atom_site_fract_x
_atom_site_fract_y
_atom_site_fract_z
Si1 Si 0.000 0.000 0.000
W1 W 0.376 0.376 0.376
W2 W 0.872 0.376 0.376
W3 W 0.376 0.872 0.376
W4 W 0.376 0.376 0.872
Cu1 Cu 0.750 0.750 0.750
```

Properties
energy relative to the elements, uncorrected = 0.879 eV per atom

No. 10
Sm3MgCd2: optimized geometry, GGA-PBE.

The structure in CIF format:
```
data_Sm3MgCd2
_chemical_formula_sum 'Sm3 Mg1 Cd2'
_cell_length_a 3.831
_cell_length_b 5.380
_cell_length_c 8.561
_cell_angle_alpha 108.31
_cell_angle_beta 90.00
_cell_angle_gamma 90.00
_space_group_name_H-M_alt 'P 1'
_space_group_IT_number 1
_space_group_name_Hall 'P 1'
loop_
_atom_site_label
_atom_site_type_symbol
_atom_site_fract_x
_atom_site_fract_y
_atom_site_fract_z
Sm1 Sm 0.500 0.831 0.663
Mg1 Mg 0.000 0.000 0.000
Cd1 Cd 0.000 0.661 0.321
Cd2 Cd 0.000 0.339 0.679
Sm2 Sm 0.500 0.169 0.337
Sm3 Sm 0.500 0.500 0.000
```

Properties
E_form = -24.0 kJ per mole of atoms
E above lowest polymorph = 0.0 meV per atom

No. 11
Ti3PtO: optimized geometry, GGA-PBE.

The structure in CIF format:
```
data_Ti3PtO
_chemical_formula_sum 'Ti6 Pt2 O2'
_cell_length_a 5.808
_cell_length_b 8.293
_cell_length_c 3.019
_cell_angle_alpha 100.49
_cell_angle_beta 74.95
_cell_angle_gamma 95.21
_space_group_name_H-M_alt 'P 1'
_space_group_IT_number 1
_space_group_name_Hall 'P 1'
loop_
_atom_site_label
_atom_site_type_symbol
_atom_site_fract_x
_atom_site_fract_y
_atom_site_fract_z
Ti1 Ti 0.292 0.813 0.784
O1 O 0.199 0.979 0.414
Ti2 Ti 0.556 0.083 0.287
Ti3 Ti 0.795 0.344 0.798
Pt1 Pt 0.045 0.567 0.285
Ti4 Ti 0.843 0.879 0.542
Ti5 Ti 0.082 0.141 0.053
Ti6 Ti 0.346 0.411 0.556
Pt2 Pt 0.592 0.657 0.056
O2 O 0.439 0.245 0.927
```

Properties
energy relative to the elements, uncorrected = -1.424 eV per atom

No. 12
Li2LaCdIn2: optimized geometry, GGA-PBE.

The structure in CIF format:
```
data_Li2LaCdIn2
_chemical_formula_sum 'Li2 La1 Cd1 In2'
_cell_length_a 4.809
_cell_length_b 4.809
_cell_length_c 6.376
_cell_angle_alpha 90.00
_cell_angle_beta 90.00
_cell_angle_gamma 90.00
_space_group_name_H-M_alt 'P 1'
_space_group_IT_number 1
_space_group_name_Hall 'P 1'
loop_
_atom_site_label
_atom_site_type_symbol
_atom_site_fract_x
_atom_site_fract_y
_atom_site_fract_z
Li1 Li 0.500 0.000 0.000
Cd1 Cd 0.000 0.000 0.000
In1 In 0.500 0.500 0.268
Li2 Li 0.000 0.500 0.000
La1 La 0.000 0.000 0.500
In2 In 0.500 0.500 0.732
```

Properties
E_form = -16.2 kJ per mole of atoms

No. 13
HoTl2RuO6: optimized geometry, GGA-PBE.

The structure in CIF format:
```
data_HoTl2RuO6
_chemical_formula_sum 'Ho1 Tl2 Ru1 O6'
_cell_length_a 5.702
_cell_length_b 6.285
_cell_length_c 6.285
_cell_angle_alpha 120.00
_cell_angle_beta 90.00
_cell_angle_gamma 90.00
_space_group_name_H-M_alt 'P 1'
_space_group_IT_number 1
_space_group_name_Hall 'P 1'
loop_
_atom_site_label
_atom_site_type_symbol
_atom_site_fract_x
_atom_site_fract_y
_atom_site_fract_z
Tl1 Tl 0.012 0.333 0.667
O1 O 0.794 0.142 0.858
Ru1 Ru 0.000 0.000 0.000
Ho1 Ho 0.500 0.000 0.000
Tl2 Tl 0.988 0.667 0.333
O2 O 0.794 0.142 0.284
O3 O 0.206 0.858 0.716
O4 O 0.794 0.716 0.858
O5 O 0.206 0.858 0.142
O6 O 0.206 0.284 0.142
```

Properties
energy relative to the elements, uncorrected = -1.288 eV per atom

No. 14
BaOsRu: optimized geometry, GGA-PBE.

The structure in CIF format:
```
data_BaOsRu
_chemical_formula_sum 'Ba2 Os2 Ru2'
_cell_length_a 4.099
_cell_length_b 7.930
_cell_length_c 6.618
_cell_angle_alpha 128.71
_cell_angle_beta 108.14
_cell_angle_gamma 89.90
_space_group_name_H-M_alt 'P 1'
_space_group_IT_number 1
_space_group_name_Hall 'P 1'
loop_
_atom_site_label
_atom_site_type_symbol
_atom_site_fract_x
_atom_site_fract_y
_atom_site_fract_z
Os1 Os 0.664 0.137 0.242
Ru1 Ru 0.909 0.489 0.731
Ba1 Ba 0.367 0.102 0.645
Os2 Os 0.041 0.923 0.996
Ru2 Ru 0.537 0.710 0.988
Ba2 Ba 0.216 0.536 0.349
```

Properties
E_form = 37.0 kJ per mole of atoms
E above lowest polymorph = 50.2 meV per atom

No. 15
Ba3Cu2Rh7: optimized geometry, GGA-PBE.

The structure in CIF format:
```
data_Ba3Cu2Rh7
_chemical_formula_sum 'Ba3 Cu2 Rh7'
_cell_length_a 5.554
_cell_length_b 5.554
_cell_length_c 9.338
_cell_angle_alpha 72.70
_cell_angle_beta 72.70
_cell_angle_gamma 60.00
_space_group_name_H-M_alt 'P 1'
_space_group_IT_number 1
_space_group_name_Hall 'P 1'
loop_
_atom_site_label
_atom_site_type_symbol
_atom_site_fract_x
_atom_site_fract_y
_atom_site_fract_z
Ba1 Ba 0.140 0.140 0.579
Cu1 Cu 0.667 0.667 0.000
Rh1 Rh 0.920 0.422 0.236
Rh2 Rh 0.422 0.920 0.236
Rh3 Rh 0.578 0.080 0.764
Rh4 Rh 0.500 0.500 0.500
Rh5 Rh 0.578 0.578 0.764
Cu2 Cu 0.333 0.333 0.000
Ba2 Ba 0.000 0.000 0.000
Rh6 Rh 0.422 0.422 0.236
Rh7 Rh 0.080 0.578 0.764
Ba3 Ba 0.860 0.860 0.421
```

Properties
E_form = -5.8 kJ per mole of atoms

No. 16
LiDy3Tm2Se6: optimized geometry, GGA-PBE.

The structure in CIF format:
```
data_LiDy3Tm2Se6
_chemical_formula_sum 'Li1 Dy3 Tm2 Se6'
_cell_length_a 6.963
_cell_length_b 6.963
_cell_length_c 7.013
_cell_angle_alpha 99.56
_cell_angle_beta 99.56
_cell_angle_gamma 120.11
_space_group_name_H-M_alt 'P 1'
_space_group_IT_number 1
_space_group_name_Hall 'P 1'
loop_
_atom_site_label
_atom_site_type_symbol
_atom_site_fract_x
_atom_site_fract_y
_atom_site_fract_z
Tm1 Tm 0.335 0.665 0.000
Se1 Se 0.920 0.594 0.759
Dy1 Dy 0.500 0.500 0.500
Se2 Se 0.755 0.755 0.238
Li1 Li 0.000 0.000 0.000
Dy2 Dy 0.167 0.833 0.500
Se3 Se 0.080 0.406 0.241
Se4 Se 0.406 0.080 0.241
Se5 Se 0.594 0.920 0.759
Dy3 Dy 0.833 0.167 0.500
Se6 Se 0.245 0.245 0.762
Tm2 Tm 0.665 0.335 0.000
```

Properties
energy relative to the elements, uncorrected = -1.726 eV per atom

No. 17
SrLiZr2: optimized geometry, GGA-PBE.

The structure in CIF format:
```
data_SrLiZr2
_chemical_formula_sum 'Sr1 Li1 Zr2'
_cell_length_a 3.147
_cell_length_b 3.147
_cell_length_c 11.460
_cell_angle_alpha 90.00
_cell_angle_beta 90.00
_cell_angle_gamma 114.10
_space_group_name_H-M_alt 'P 1'
_space_group_IT_number 1
_space_group_name_Hall 'P 1'
loop_
_atom_site_label
_atom_site_type_symbol
_atom_site_fract_x
_atom_site_fract_y
_atom_site_fract_z
Zr1 Zr 0.000 0.000 0.026
Li1 Li 0.500 0.500 0.250
Zr2 Zr 0.000 0.000 0.474
Sr1 Sr 0.500 0.500 0.750
```

Properties
E_form = 53.3 kJ per mole of atoms
E above lowest polymorph = 296.2 meV per atom

No. 18
Al2CoSb: optimized geometry, GGA-PBE.

The structure in CIF format:
```
data_Al2CoSb
_chemical_formula_sum 'Al2 Co1 Sb1'
_cell_length_a 2.932
_cell_length_b 2.933
_cell_length_c 7.979
_cell_angle_alpha 90.00
_cell_angle_beta 90.00
_cell_angle_gamma 90.00
_space_group_name_H-M_alt 'P 1'
_space_group_IT_number 1
_space_group_name_Hall 'P 1'
loop_
_atom_site_label
_atom_site_type_symbol
_atom_site_fract_x
_atom_site_fract_y
_atom_site_fract_z
Al1 Al 0.000 0.000 0.425
Al2 Al 0.000 0.000 0.075
Co1 Co 0.500 0.500 0.250
Sb1 Sb 0.500 0.500 0.750
```

Properties
energy relative to the elements, uncorrected = -0.100 eV per atom

No. 19
CdSnPb: optimized geometry, GGA-PBE.

The structure in CIF format:
```
data_CdSnPb
_chemical_formula_sum 'Cd1 Sn1 Pb1'
_cell_length_a 3.551
_cell_length_b 3.551
_cell_length_c 7.028
_cell_angle_alpha 104.63
_cell_angle_beta 104.63
_cell_angle_gamma 90.00
_space_group_name_H-M_alt 'P 1'
_space_group_IT_number 1
_space_group_name_Hall 'P 1'
loop_
_atom_site_label
_atom_site_type_symbol
_atom_site_fract_x
_atom_site_fract_y
_atom_site_fract_z
Sn1 Sn 0.678 0.678 0.356
Pb1 Pb 0.993 0.993 0.987
Cd1 Cd 0.329 0.329 0.657
```

Properties
E_form = 5.3 kJ per mole of atoms
E above lowest polymorph = 0.0 meV per atom

No. 20
Ir3Cl5: optimized geometry, GGA-PBE.

The structure in CIF format:
```
data_Ir3Cl5
_chemical_formula_sum 'Ir3 Cl5'
_cell_length_a 7.341
_cell_length_b 7.341
_cell_length_c 2.986
_cell_angle_alpha 90.00
_cell_angle_beta 90.00
_cell_angle_gamma 109.70
_space_group_name_H-M_alt 'P 1'
_space_group_IT_number 1
_space_group_name_Hall 'P 1'
loop_
_atom_site_label
_atom_site_type_symbol
_atom_site_fract_x
_atom_site_fract_y
_atom_site_fract_z
Ir1 Ir 0.698 0.302 0.500
Cl1 Cl 0.000 0.000 0.000
Cl2 Cl 0.716 0.716 0.500
Cl3 Cl 0.284 0.284 0.500
Ir2 Ir 0.302 0.698 0.500
Cl4 Cl 0.500 0.000 0.000
Ir3 Ir 0.500 0.500 0.000
Cl5 Cl 0.000 0.500 0.000
```

Properties
energy relative to the elements, uncorrected = 0.620 eV per atom

| no. | E_tot (eV/atom) |
| --- | --- |
| 1 | -4.353 |
| 2 | -11.475 |
| 3 | -6.151 |
| 4 | -2.398 |
| 5 | -2.888 |
| 6 | -4.307 |
| 7 | -3.676 |
| 8 | -5.155 |
| 9 | -9.343 |
| 10 | -3.179 |
| 11 | -8.361 |
| 12 | -2.693 |
| 13 | -6.122 |
| 14 | -7.093 |
| 15 | -5.512 |
| 16 | -5.524 |
| 17 | -4.620 |
| 18 | -4.779 |
| 19 | -2.820 |
| 20 | -3.857 |